Density functional theory data (PBE) for a geometry-optimized AcCe2P structure.

Geometry as POSCAR:
```
AcCe2P
1.0
1.932 1.115 10.307
-1.932 1.115 10.307
0.000 -2.231 10.307
Ac Ce P
1 2 1
Direct
0.000 0.000 0.000
0.113 0.113 0.113
0.887 0.887 0.887
0.500 0.500 0.500
```

Computed properties:
- formation energy (meV per atom) = -456
- SG = No. 166
- total DFT energy (no corrections) (eV per atom) = -5.802
- excess energy over the best structure of this formula in the dataset (kcal/mol of atoms) = 3.30

Density functional theory data (PBE) for a geometry-optimized Ac3CeP4 structure.

Geometry as POSCAR:
```
Ac3CeP4
1.0
6.194 0.000 0.000
0.000 6.194 0.000
0.000 0.000 6.194
Ac Ce P
3 1 4
Direct
0.000 0.000 0.500
0.000 0.500 0.000
0.500 0.000 0.000
0.500 0.500 0.500
0.000 0.000 0.000
0.000 0.500 0.500
0.500 0.000 0.500
0.500 0.500 0.000
```

Computed properties:
- formation energy (meV per atom) = -1422
- SG = No. 221
- total DFT energy (no corrections) (eV per atom) = -6.409
- excess energy over the best structure of this formula in the dataset (kcal/mol of atoms) = 0.53

Density functional theory data (PBE) for a geometry-optimized Ac2CeP structure.

Geometry as POSCAR:
```
Ac2CeP
1.0
2.011 1.161 11.114
-2.011 1.161 11.114
0.000 -2.322 11.114
Ac Ce P
2 1 1
Direct
0.111 0.111 0.111
0.889 0.889 0.889
0.000 0.000 0.000
0.500 0.500 0.500
```

Computed properties:
- formation energy (meV per atom) = -306
- SG = No. 166
- total DFT energy (no corrections) (eV per atom) = -5.196

Density functional theory data (PBE) for a geometry-optimized Ac2CeP3 structure.

Geometry as POSCAR:
```
Ac2CeP3
1.0
-2.175 2.175 9.175
2.175 -2.175 9.175
2.175 2.175 -9.175
Ac Ce P
2 1 3
Direct
0.166 0.166 0.000
0.834 0.834 0.000
0.500 0.500 0.000
0.000 0.000 0.000
0.341 0.341 0.000
0.659 0.659 0.000
```

Computed properties:
- formation energy (meV per atom) = -1417
- SG = No. 139
- total DFT energy (no corrections) (eV per atom) = -6.481

Density functional theory data (PBE) for a geometry-optimized Ac4CeP5 structure.

Geometry as POSCAR:
```
Ac4CeP5
1.0
-2.198 2.198 15.490
2.198 -2.198 15.490
2.198 2.198 -15.490
Ac Ce P
4 1 5
Direct
0.098 0.098 0.000
0.301 0.301 0.000
0.699 0.699 0.000
0.902 0.902 0.000
0.500 0.500 0.000
0.000 0.000 0.000
0.199 0.199 0.000
0.405 0.405 0.000
0.595 0.595 0.000
0.801 0.801 0.000
```

Computed properties:
- formation energy (meV per atom) = -1441
- SG = No. 139
- total DFT energy (no corrections) (eV per atom) = -6.383

Density functional theory data (PBE) for a geometry-optimized AcCe2P structure.

Geometry as POSCAR:
```
AcCe2P
1.0
1.969 1.137 9.456
-1.969 1.137 9.456
0.000 -2.274 9.456
Ac Ce P
1 2 1
Direct
0.000 0.000 0.000
0.558 0.558 0.558
0.773 0.773 0.773
0.166 0.166 0.166
```

Computed properties:
- formation energy (meV per atom) = -599
- SG = No. 160
- total DFT energy (no corrections) (eV per atom) = -5.945
- excess energy over the best structure of this formula in the dataset (kcal/mol of atoms) = 0.00

Density functional theory data (PBE) for a geometry-optimized AcCeP structure.

Geometry as POSCAR:
```
AcCeP
1.0
4.114 0.000 0.000
-2.057 3.563 0.000
0.000 0.000 6.904
Ac Ce P
1 1 1
Direct
0.000 0.000 0.000
0.667 0.333 0.496
0.333 0.667 0.721
```

Computed properties:
- formation energy (meV per atom) = -793
- SG = No. 156
- total DFT energy (no corrections) (eV per atom) = -5.943
- excess energy over the best structure of this formula in the dataset (kcal/mol of atoms) = 0.00

Density functional theory data (PBE) for a geometry-optimized AcCe3P4 structure.

Geometry as POSCAR:
```
AcCe3P4
1.0
4.190 -5.922 0.000
4.190 5.922 0.000
0.000 0.000 4.183
Ac Ce P
1 3 4
Direct
0.000 0.000 0.000
0.000 0.500 0.500
0.500 0.000 0.500
0.500 0.500 0.000
0.258 0.742 0.000
0.266 0.266 0.500
0.734 0.734 0.500
0.742 0.258 0.000
```

Computed properties:
- formation energy (meV per atom) = -1454
- SG = No. 65
- total DFT energy (no corrections) (eV per atom) = -6.898

Density functional theory data (PBE) for a geometry-optimized Ac3CeP4 structure.

Geometry as POSCAR:
```
Ac3CeP4
1.0
4.371 -6.172 0.000
4.371 6.172 0.000
0.000 0.000 4.364
Ac Ce P
3 1 4
Direct
0.000 0.000 0.000
0.000 0.500 0.500
0.500 0.000 0.500
0.500 0.500 0.000
0.258 0.742 0.000
0.264 0.264 0.500
0.736 0.736 0.500
0.742 0.258 0.000
```

Computed properties:
- formation energy (meV per atom) = -1445
- SG = No. 65
- total DFT energy (no corrections) (eV per atom) = -6.432
- excess energy over the best structure of this formula in the dataset (kcal/mol of atoms) = 0.00

Density functional theory data (PBE) for a geometry-optimized Ac3Ce2PaP6 structure.

Geometry as POSCAR:
```
Ac3Ce2PaP6
1.0
3.659 -6.336 0.000
3.659 6.336 0.000
-2.438 0.000 6.971
Ac Ce Pa P
3 2 1 6
Direct
0.000 0.000 0.000
0.331 0.669 0.000
0.669 0.331 0.000
0.166 0.834 0.500
0.834 0.166 0.500
0.500 0.500 0.500
0.102 0.426 0.278
0.251 0.251 0.723
0.426 0.102 0.278
0.574 0.898 0.722
0.749 0.749 0.277
0.898 0.574 0.722
```

Computed properties:
- formation energy (meV per atom) = -1425
- SG = No. 12
- total DFT energy (no corrections) (eV per atom) = -6.937

Density functional theory data (PBE) for a geometry-optimized Ac4Ce3PaP8 structure.

Geometry as POSCAR:
```
Ac4Ce3PaP8
1.0
4.233 2.444 6.972
-4.233 2.444 6.972
0.000 -4.888 6.972
Ac Ce Pa P
4 3 1 8
Direct
0.000 0.000 0.000
0.000 0.500 0.500
0.500 0.000 0.500
0.500 0.500 0.000
0.000 0.000 0.500
0.000 0.500 0.000
0.500 0.000 0.000
0.500 0.500 0.500
0.242 0.242 0.242
0.249 0.737 0.737
0.263 0.263 0.751
0.263 0.751 0.263
0.737 0.249 0.737
0.737 0.737 0.249
0.751 0.263 0.263
0.758 0.758 0.758
```

Computed properties:
- formation energy (meV per atom) = -1431
- SG = No. 166
- total DFT energy (no corrections) (eV per atom) = -6.869

Density functional theory data (PBE) for a geometry-optimized AcCeP2Pd2 structure.

Geometry as POSCAR:
```
AcCeP2Pd2
1.0
4.280 0.000 0.000
-2.140 3.707 0.000
0.000 0.000 8.104
Ac Ce P Pd
1 1 2 2
Direct
0.000 0.000 0.000
0.000 0.000 0.500
0.333 0.667 0.270
0.667 0.333 0.730
0.333 0.667 0.738
0.667 0.333 0.262
```

Computed properties:
- formation energy (meV per atom) = -1213
- SG = No. 164
- total DFT energy (no corrections) (eV per atom) = -6.421

Density functional theory data (PBE) for a geometry-optimized AcCePm2P4 structure.

Geometry as POSCAR:
```
AcCePm2P4
1.0
7.281 0.000 0.000
0.000 4.203 0.000
-2.417 0.000 6.877
Ac Ce Pm P
1 1 2 4
Direct
0.000 0.000 0.000
0.000 0.500 0.500
0.500 0.000 0.500
0.500 0.500 0.000
0.252 0.000 0.741
0.258 0.500 0.264
0.742 0.500 0.736
0.748 0.000 0.259
```

Computed properties:
- formation energy (meV per atom) = -1495
- SG = No. 10
- total DFT energy (no corrections) (eV per atom) = -6.643

Density functional theory data (PBE) for a geometry-optimized Ac3CePm2P6 structure.

Geometry as POSCAR:
```
Ac3CePm2P6
1.0
3.702 -6.411 0.000
3.702 6.411 0.000
-2.467 0.000 7.016
Ac Ce Pm P
3 1 2 6
Direct
0.000 0.000 0.000
0.333 0.667 0.000
0.667 0.333 0.000
0.500 0.500 0.500
0.166 0.834 0.500
0.834 0.166 0.500
0.094 0.423 0.269
0.248 0.248 0.731
0.423 0.094 0.269
0.577 0.906 0.731
0.752 0.752 0.269
0.906 0.577 0.731
```

Computed properties:
- formation energy (meV per atom) = -1486
- SG = No. 12
- total DFT energy (no corrections) (eV per atom) = -6.504

Density functional theory data (PBE) for a geometry-optimized AcCe2Pm3P6 structure.

Geometry as POSCAR:
```
AcCe2Pm3P6
1.0
3.615 -6.260 0.000
3.615 6.260 0.000
-2.414 0.000 6.809
Ac Ce Pm P
1 2 3 6
Direct
0.000 0.000 0.000
0.333 0.667 0.000
0.667 0.333 0.000
0.165 0.835 0.500
0.500 0.500 0.500
0.835 0.165 0.500
0.084 0.430 0.251
0.263 0.263 0.749
0.430 0.084 0.251
0.570 0.916 0.749
0.737 0.737 0.251
0.916 0.570 0.749
```

Computed properties:
- formation energy (meV per atom) = -1510
- SG = No. 12
- total DFT energy (no corrections) (eV per atom) = -6.734

Density functional theory data (PBE) for a geometry-optimized Ac2CePmP4 structure.

Geometry as POSCAR:
```
Ac2CePmP4
1.0
7.395 0.000 0.000
0.000 4.276 0.000
-2.462 0.000 7.010
Ac Ce Pm P
2 1 1 4
Direct
0.000 0.000 0.000
0.500 0.500 0.000
0.000 0.500 0.500
0.500 0.000 0.500
0.241 0.000 0.729
0.253 0.500 0.269
0.747 0.500 0.731
0.759 0.000 0.271
```

Computed properties:
- formation energy (meV per atom) = -1477
- SG = No. 10
- total DFT energy (no corrections) (eV per atom) = -6.544

Density functional theory data (PBE) for a geometry-optimized AcCe3Pm2P6 structure.

Geometry as POSCAR:
```
AcCe3Pm2P6
1.0
3.608 -6.248 0.000
3.608 6.248 0.000
-2.409 0.000 6.798
Ac Ce Pm P
1 3 2 6
Direct
0.000 0.000 0.000
0.165 0.835 0.500
0.500 0.500 0.500
0.835 0.165 0.500
0.333 0.667 0.000
0.667 0.333 0.000
0.087 0.430 0.262
0.256 0.256 0.740
0.430 0.087 0.262
0.570 0.913 0.738
0.744 0.744 0.260
0.913 0.570 0.738
```

Computed properties:
- formation energy (meV per atom) = -1499
- SG = No. 12
- total DFT energy (no corrections) (eV per atom) = -6.821

Density functional theory data (PBE) for a geometry-optimized AcCe3Pr2P6 structure.

Geometry as POSCAR:
```
AcCe3Pr2P6
1.0
3.625 -6.279 0.000
3.625 6.279 0.000
-2.419 0.000 6.841
Ac Ce Pr P
1 3 2 6
Direct
0.000 0.000 0.000
0.166 0.834 0.500
0.500 0.500 0.500
0.834 0.166 0.500
0.333 0.667 0.000
0.667 0.333 0.000
0.088 0.429 0.265
0.252 0.252 0.736
0.429 0.088 0.265
0.571 0.912 0.735
0.748 0.748 0.264
0.912 0.571 0.735
```

Computed properties:
- formation energy (meV per atom) = -1488
- SG = No. 12
- total DFT energy (no corrections) (eV per atom) = -6.816

Density functional theory data (PBE) for a geometry-optimized AcCePr2P4 structure.

Geometry as POSCAR:
```
AcCePr2P4
1.0
7.343 0.000 0.000
0.000 4.240 0.000
-2.437 0.000 6.935
Ac Ce Pr P
1 1 2 4
Direct
0.000 0.000 0.000
0.000 0.500 0.500
0.500 0.000 0.500
0.500 0.500 0.000
0.248 0.000 0.740
0.254 0.500 0.262
0.746 0.500 0.738
0.752 0.000 0.260
```

Computed properties:
- formation energy (meV per atom) = -1477
- SG = No. 10
- total DFT energy (no corrections) (eV per atom) = -6.632

Density functional theory data (PBE) for a geometry-optimized Ac3Ce2PrP6 structure.

Geometry as POSCAR:
```
Ac3Ce2PrP6
1.0
3.707 -6.420 0.000
3.707 6.420 0.000
-2.472 0.000 7.023
Ac Ce Pr P
3 2 1 6
Direct
0.000 0.000 0.000
0.334 0.666 0.000
0.666 0.334 0.000
0.167 0.833 0.500
0.833 0.167 0.500
0.500 0.500 0.500
0.084 0.423 0.269
0.237 0.237 0.730
0.423 0.084 0.269
0.577 0.916 0.731
0.763 0.763 0.270
0.916 0.577 0.731
```

Computed properties:
- formation energy (meV per atom) = -1466
- SG = No. 12
- total DFT energy (no corrections) (eV per atom) = -6.585